Entry 1:
A relaxed NiPdSe2 crystal, computed with PBE-GGA.

Results
- Formation energy from raw total energies: -0.155 eV per atom
- SG: R3m
- Excess energy over the best structure of this formula in the dataset: 66 meV/atom

Cell: 6.442 6.442 6.442 Å, 32.75 32.75 32.75°
Sites, in units of the cell vectors:
Ni: 0.000 0.000 0.000
Pd: 0.845 0.845 0.845
Se: 0.404 0.404 0.404
Se: 0.599 0.599 0.599

***

Entry 2:
A relaxed FeCu2Pt5 crystal, computed with PBE-GGA.

Results
- SG: I4/mmm
- Formation enthalpy at 0 K: -0.1817 eV per atom
- Excess energy over the best structure of this formula in the dataset: 0 meV/atom

Cell: 7.927 7.927 7.927 Å, 151.16 151.16 41.25°
Sites, in units of the cell vectors:
Fe: 0.000 0.000 0.000
Cu: 0.250 0.250 0.000
Cu: 0.750 0.750 0.000
Pt: 0.128 0.628 0.500
Pt: 0.372 0.872 0.500
Pt: 0.500 0.500 0.000
Pt: 0.628 0.128 0.500
Pt: 0.872 0.372 0.500